Record 1
LiPBr2, optimized geometry, DFT GGA-PBEsol; distance to the lowest polymorph of the same formula = 596 meV per atom; uncorrected energy = -2.55 eV per atom; E_form (uncorrected) = 0.33 eV per atom
1.0
-3.138 -0.498 3.842
1.490 -2.324 4.151
0.748 2.606 4.184
Li Br P
1 2 1
Direct
0.500 0.500 0.500
0.250 0.250 0.250
0.000 0.000 0.000
0.750 0.750 0.750

***

Record 2
LiPBr2, optimized geometry, DFT GGA-PBEsol; distance to the lowest polymorph of the same formula = 0 meV per atom; uncorrected energy = -3.14 eV per atom; E_form (uncorrected) = -0.27 eV per atom
1.0
3.606 0.000 0.000
0.000 3.728 0.000
0.000 0.000 7.026
P Br Li
1 2 1
Direct
0.000 0.500 0.500
0.000 0.000 0.000
0.500 0.000 0.500
0.500 0.500 0.000

***

Record 3
LiPBr2, optimized geometry, DFT GGA-PBEsol; distance to the lowest polymorph of the same formula = 138 meV per atom; uncorrected energy = -3.01 eV per atom; E_form (uncorrected) = -0.13 eV per atom
1.0
3.407 0.000 0.000
1.704 2.951 0.000
1.704 0.984 7.864
Li Br P
1 2 1
Direct
0.500 0.500 0.500
0.238 0.238 0.285
0.762 0.762 0.715
0.000 0.000 0.000

***

Record 4
Li2PbBr, optimized geometry, DFT GGA-PBEsol; distance to the lowest polymorph of the same formula = 1 meV per atom; uncorrected energy = -3.17 eV per atom; E_form (uncorrected) = -0.72 eV per atom
1.0
-0.767 -1.481 -2.890
-1.347 -2.571 1.675
-5.665 5.794 -1.465
Li Br Pb
2 1 1
Direct
0.000 0.234 0.210
0.000 0.766 0.790
0.500 0.500 0.000
0.500 0.000 0.500

***

Record 5
LiPbBr2, optimized geometry, DFT GGA-PBEsol; distance to the lowest polymorph of the same formula = 298 meV per atom; uncorrected energy = -3.08 eV per atom; E_form (uncorrected) = -0.66 eV per atom
1.0
4.023 0.000 0.000
0.000 4.336 0.000
0.000 0.000 6.423
Pb Br Li
1 2 1
Direct
0.000 0.500 0.500
0.500 0.000 0.500
0.000 0.000 0.000
0.500 0.500 0.000

***

Record 6
Li3PbBr, optimized geometry, DFT GGA-PBEsol; uncorrected energy = -2.87 eV per atom; E_form (uncorrected) = -0.52 eV per atom
1.0
4.835 0.000 0.000
0.000 4.835 0.000
0.000 0.000 4.835
Li Pb Br
3 1 1
Direct
0.500 0.000 0.000
0.000 0.500 0.000
0.000 0.000 0.500
0.500 0.500 0.500
0.000 0.000 0.000

***

Record 7
LiPb2Br, optimized geometry, DFT GGA-PBEsol; distance to the lowest polymorph of the same formula = 352 meV per atom; uncorrected energy = -3.17 eV per atom; E_form (uncorrected) = -0.21 eV per atom
1.0
-1.935 2.964 -3.710
-2.543 -4.671 1.138
-4.465 0.228 2.511
Pb Br Li
2 1 1
Direct
0.250 0.500 0.250
0.000 0.000 0.000
0.500 0.000 0.500
0.750 0.500 0.750

***

Record 8
LiPbBr2, optimized geometry, DFT GGA-PBEsol; distance to the lowest polymorph of the same formula = 80 meV per atom; uncorrected energy = -3.30 eV per atom; E_form (uncorrected) = -0.88 eV per atom
1.0
3.633 0.062 0.000
-1.039 3.482 0.000
0.000 0.000 8.681
Li Pb Br
1 1 2
Direct
0.000 0.000 0.701
0.500 0.500 0.232
0.000 0.000 0.984
0.500 0.500 0.583